A plane-wave DFT calculation with GGA-PBE was carried out for an optimized crystal structure of LaPm2Bi.

abc: 4.169 4.169 10.143
angles: 78.14 78.14 60.00
Sites, in units of the cell vectors:
La1 0.500 0.500 0.499
Pm1 0.069 0.069 0.793
Pm2 0.264 0.264 0.207
Bi1 0.667 0.667 0.000

Results
For the formation energy from the elements, the calculation gives -233 meV/atom. The calculation puts the volume at 37.07 Å³ per atom. Its electronic total energy is -4.81 eV/atom.

***

A plane-wave DFT calculation with GGA-PBE was carried out for an optimized crystal structure of LaPm2Bi.

abc: 4.922 5.044 5.044
angles: 90.00 90.00 90.00
Sites, in units of the cell vectors:
La1 0.500 0.000 0.000
Bi1 0.500 0.500 0.500
Pm1 0.000 0.000 0.500
Pm2 0.000 0.500 0.000

Results
For the formation energy from the elements, the calculation gives -453 meV/atom. The calculation puts the volume at 31.31 Å³ per atom. Its electronic total energy is -5.03 eV/atom.

***

A plane-wave DFT calculation with GGA-PBE was carried out for an optimized crystal structure of LaPm2Bi3.

abc: 4.626 6.536 8.003
angles: 114.10 106.80 90.00
Sites, in units of the cell vectors:
La1 0.500 0.500 0.500
Pm1 0.834 0.834 0.168
Pm2 0.166 0.166 0.832
Bi1 0.830 0.330 0.160
Bi2 0.170 0.670 0.840
Bi3 0.500 0.000 0.500

Results
For the formation energy from the elements, the calculation gives -977 meV/atom. The calculation puts the volume at 34.92 Å³ per atom. Its electronic total energy is -5.32 eV/atom.

***

A plane-wave DFT calculation with GGA-PBE was carried out for an optimized crystal structure of LaPmBi.

abc: 4.196 5.352 5.352
angles: 120.00 90.00 90.00
Sites, in units of the cell vectors:
La1 0.704 0.333 0.667
Bi1 0.071 0.000 0.000
Pm1 0.226 0.667 0.333

Results
For the formation energy from the elements, the calculation gives -355 meV/atom. The calculation puts the volume at 34.69 Å³ per atom. Its electronic total energy is -4.87 eV/atom.

***

A plane-wave DFT calculation with GGA-PBE was carried out for an optimized crystal structure of La6PmBi5.

abc: 7.810 9.036 7.918
angles: 55.21 81.45 74.89
Sites, in units of the cell vectors:
La1 0.724 0.106 0.360
La2 0.276 0.534 0.360
La3 0.223 0.297 0.000
La4 0.777 0.703 0.000
La5 0.724 0.466 0.640
La6 0.276 0.894 0.640
Pm1 0.000 0.000 0.000
Bi1 0.500 0.139 0.723
Bi2 0.000 0.301 0.397
Bi3 0.500 0.500 0.000
Bi4 0.000 0.699 0.603
Bi5 0.500 0.861 0.277

Results
For the formation energy from the elements, the calculation gives -681 meV/atom. The calculation puts the volume at 36.92 Å³ per atom. Its electronic total energy is -5.16 eV/atom.

***

A plane-wave DFT calculation with GGA-PBE was carried out for an optimized crystal structure of LaPm3Bi2.

abc: 4.654 4.654 9.049
angles: 90.00 90.00 90.00
Sites, in units of the cell vectors:
La1 0.500 0.500 0.000
Pm1 0.500 0.000 0.355
Pm2 0.000 0.500 0.645
Pm3 0.000 0.000 0.000
Bi1 0.500 0.000 0.716
Bi2 0.000 0.500 0.284

Results
For the formation energy from the elements, the calculation gives -648 meV/atom. The calculation puts the volume at 32.66 Å³ per atom. Its electronic total energy is -5.14 eV/atom.

***

A plane-wave DFT calculation with GGA-PBE was carried out for an optimized crystal structure of LaPm3Bi3.

abc: 9.512 9.512 8.442
angles: 55.71 55.71 60.00
Sites, in units of the cell vectors:
La1 0.334 0.334 0.998
La2 0.666 0.666 0.002
Pm1 0.349 0.819 0.744
Pm2 0.819 0.088 0.744
Pm3 0.088 0.349 0.744
Pm4 0.912 0.651 0.256
Pm5 0.181 0.912 0.256
Pm6 0.651 0.181 0.256
Bi1 0.297 0.536 0.246
Bi2 0.922 0.297 0.246
Bi3 0.536 0.922 0.246
Bi4 0.464 0.078 0.754
Bi5 0.078 0.703 0.754
Bi6 0.703 0.464 0.754

Results
For the formation energy from the elements, the calculation gives -739 meV/atom. The calculation puts the volume at 35.88 Å³ per atom. Its electronic total energy is -5.14 eV/atom.

***

A plane-wave DFT calculation with GGA-PBE was carried out for an optimized crystal structure of La2Pm2Bi3.

abc: 8.444 8.444 8.444
angles: 109.47 109.47 109.47
Sites, in units of the cell vectors:
La1 0.500 0.352 0.500
La2 0.000 0.000 0.352
La3 0.648 0.148 0.148
La4 0.852 0.500 0.000
Pm1 0.000 0.000 0.861
Pm2 0.500 0.861 0.500
Pm3 0.139 0.639 0.639
Pm4 0.361 0.500 0.000
Bi1 0.750 0.632 0.382
Bi2 0.250 0.868 0.118
Bi3 0.618 0.750 0.868
Bi4 0.882 0.250 0.632
Bi5 0.368 0.118 0.750
Bi6 0.132 0.382 0.250

Results
For the formation energy from the elements, the calculation gives -871 meV/atom. The calculation puts the volume at 33.10 Å³ per atom. Its electronic total energy is -5.30 eV/atom.

***

A plane-wave DFT calculation with GGA-PBE was carried out for an optimized crystal structure of LaPm2Bi.

abc: 3.669 3.658 11.773
angles: 95.16 71.90 69.15
Sites, in units of the cell vectors:
La1 0.051 0.745 0.245
Pm1 0.330 0.571 0.518
Pm2 0.773 0.922 0.971
Bi1 0.551 0.246 0.745

Results
For the formation energy from the elements, the calculation gives -250 meV/atom. The calculation puts the volume at 34.18 Å³ per atom. Its electronic total energy is -4.83 eV/atom.

***

A plane-wave DFT calculation with GGA-PBE was carried out for an optimized crystal structure of LaPm2Bi.

abc: 4.166 4.166 7.496
angles: 90.00 90.00 90.00
Sites, in units of the cell vectors:
La1 0.500 0.500 0.000
Bi1 0.500 0.500 0.500
Pm1 0.000 0.000 0.720
Pm2 0.000 0.000 0.280

Results
For the formation energy from the elements, the calculation gives -395 meV/atom. The calculation puts the volume at 32.53 Å³ per atom. Its electronic total energy is -4.97 eV/atom.

***

A plane-wave DFT calculation with GGA-PBE was carried out for an optimized crystal structure of LaPm3Bi2.

abc: 4.524 10.882 10.196
angles: 124.09 90.00 102.00
Sites, in units of the cell vectors:
La1 0.888 0.776 0.898
La2 0.112 0.224 0.102
Pm1 0.311 0.623 0.512
Pm2 0.942 0.885 0.556
Pm3 0.643 0.285 0.811
Pm4 0.357 0.715 0.189
Pm5 0.058 0.115 0.444
Pm6 0.689 0.377 0.488
Bi1 0.489 0.978 0.822
Bi2 0.511 0.022 0.178
Bi3 0.753 0.507 0.221
Bi4 0.247 0.493 0.779

Results
For the formation energy from the elements, the calculation gives -579 meV/atom. The calculation puts the volume at 33.53 Å³ per atom. Its electronic total energy is -5.07 eV/atom.

***

A plane-wave DFT calculation with GGA-PBE was carried out for an optimized crystal structure of LaPm5Bi4.

abc: 6.179 10.743 10.980
angles: 90.00 90.00 90.00
Sites, in units of the cell vectors:
La1 0.000 0.000 0.000
La2 0.000 0.500 0.500
Pm1 0.251 0.750 0.750
Pm2 0.251 0.250 0.750
Pm3 0.501 0.500 0.000
Pm4 0.251 0.750 0.250
Pm5 0.251 0.250 0.250
Pm6 0.749 0.750 0.250
Pm7 0.749 0.250 0.250
Pm8 0.499 0.000 0.500
Pm9 0.749 0.250 0.750
Pm10 0.749 0.750 0.750
Bi1 0.000 0.000 0.672
Bi2 0.501 0.819 0.000
Bi3 0.501 0.181 0.000
Bi4 0.000 0.000 0.328
Bi5 0.000 0.500 0.172
Bi6 0.499 0.681 0.500
Bi7 0.499 0.319 0.500
Bi8 0.000 0.500 0.828

Results
For the formation energy from the elements, the calculation gives -446 meV/atom. The calculation puts the volume at 36.44 Å³ per atom. Its electronic total energy is -4.87 eV/atom.

***

Repeat the fourth record exactly.
A plane-wave DFT calculation with GGA-PBE was carried out for an optimized crystal structure of LaPmBi.

abc: 4.196 5.352 5.352
angles: 120.00 90.00 90.00
Sites, in units of the cell vectors:
La1 0.704 0.333 0.667
Bi1 0.071 0.000 0.000
Pm1 0.226 0.667 0.333

Results
For the formation energy from the elements, the calculation gives -355 meV/atom. The calculation puts the volume at 34.69 Å³ per atom. Its electronic total energy is -4.87 eV/atom.

***

Question: Which value of volume does entry 5 give?
Answer: 36.92 Å³ per atom

***

Question: Which of these has the lowest electronic total energy?
Answer: LaPm2Bi3